Record 1
Material: PuZrPt
Method: DFT, GGA-PBE
State: relaxed

```
PuZrPt
1.0
0.0000 3.3512 3.3512
3.3512 0.0000 3.3512
3.3512 3.3512 0.0000
Pt Pu Zr
1 1 1
direct
0.0000 0.0000 0.0000
0.2500 0.2500 0.2500
0.7500 0.7500 0.7500
```

* raw total energy: -29.897 eV for the cell shown
* calculated formation energy: -0.3892 eV/atom
* space-group type: F-43m (216)
* calculated volume: 25.090 Å³/atom

---

Record 2
Material: RbPt8
Method: DFT, GGA-PBE
State: relaxed

```
RbPt8
1.0
0.0000 4.5890 9.0358
3.9439 0.0000 9.0358
3.9439 4.5890 0.0000
Pt Rb
16 2
direct
0.7290 0.6700 0.0802
0.5210 0.5800 0.1698
0.4836 0.3228 0.2849
0.9086 0.2849 0.3228
0.9272 0.7664 0.3414
0.2849 0.9086 0.4836
0.6700 0.7290 0.5209
0.1698 0.7291 0.5210
0.7291 0.1698 0.5800
0.5209 0.0802 0.6700
0.0802 0.5209 0.7290
0.5800 0.5210 0.7291
0.9651 0.3414 0.7664
0.3228 0.4836 0.9086
0.3414 0.9651 0.9272
0.7664 0.9272 0.9651
0.0000 0.0000 0.0000
0.2500 0.2500 0.2500
```

* raw total energy: -93.621 eV for the cell shown
* space-group type: Fddd (70)
* calculated volume: 18.171 Å³/atom

---

Record 3
Material: Rb4Pt
Method: DFT, GGA-PBE
State: relaxed

```
Rb4Pt
1.0
-4.0514 4.0514 4.0514
4.0514 -4.0514 4.0514
4.0514 4.0514 -4.0514
Pt Rb
1 4
direct
0.0000 0.0000 0.0000
0.5000 0.0000 0.0000
0.0000 0.5000 0.0000
0.0000 0.0000 0.5000
0.5000 0.5000 0.5000
```

* raw total energy: -9.451 eV for the cell shown
* space-group type: Im-3m (229)
* calculated volume: 53.199 Å³/atom

---

Record 4
Material: RbRePt
Method: DFT, GGA-PBE
State: relaxed

```
RbRePt
1.0
0.0000 3.4168 3.4168
3.4168 0.0000 3.4168
3.4168 3.4168 0.0000
Pt Rb Re
1 1 1
direct
0.0000 0.0000 0.0000
0.2500 0.2500 0.2500
0.7500 0.7500 0.7500
```

* raw total energy: -13.783 eV for the cell shown
* space-group type: F-43m (216)
* calculated volume: 26.592 Å³/atom